# PBE-GGA NaPrAl, relaxed
data_NaPrAl
_cell_length_a 7.926
_cell_length_b 6.312
_cell_length_c 6.244
_cell_angle_alpha 78.28
_cell_angle_beta 51.24
_cell_angle_gamma 50.47
_space_group_name_H-M_alt 'P 1'
_space_group_IT_number 1
loop_
_space_group_symop_operation_xyz
'x,y,z'
loop_
_atom_site_label
_atom_site_type_symbol
_atom_site_fract_x
_atom_site_fract_y
_atom_site_fract_z
Na1 Na 0.158 0.842 0.158
Na2 Na 0.842 0.158 0.842
Pr1 Pr 0.332 0.332 0.668
Pr2 Pr 0.668 0.668 0.332
Al1 Al 0.250 0.250 0.250
Al2 Al 0.750 0.750 0.750
# SG: Fmmm, No. 69
# ΔH_f (0 K): 0.0915 eV/atom

# PBE-GGA AsP2PtO, relaxed
data_AsP2PtO
_cell_length_a 4.738
_cell_length_b 4.738
_cell_length_c 3.508
_cell_angle_alpha 90.00
_cell_angle_beta 90.00
_cell_angle_gamma 90.00
_space_group_name_H-M_alt 'P 1'
_space_group_IT_number 1
loop_
_space_group_symop_operation_xyz
'x,y,z'
loop_
_atom_site_label
_atom_site_type_symbol
_atom_site_fract_x
_atom_site_fract_y
_atom_site_fract_z
As1 As 0.000 0.000 0.000
P1 P 0.000 0.500 0.000
P2 P 0.500 0.000 0.000
Pt1 Pt 0.500 0.500 0.500
O1 O 0.000 0.000 0.500
# ΔE_f (raw): 0.45 eV/atom
# SG: P4/mmm, No. 123

# PBE-GGA LiCr2In, relaxed
data_LiCr2In
_cell_length_a 4.502
_cell_length_b 4.502
_cell_length_c 4.502
_cell_angle_alpha 119.94
_cell_angle_beta 119.94
_cell_angle_gamma 90.10
_space_group_name_H-M_alt 'P 1'
_space_group_IT_number 1
loop_
_space_group_symop_operation_xyz
'x,y,z'
loop_
_atom_site_label
_atom_site_type_symbol
_atom_site_fract_x
_atom_site_fract_y
_atom_site_fract_z
Li1 Li 0.000 0.000 0.000
Cr1 Cr 0.250 0.750 0.500
Cr2 Cr 0.500 0.500 0.000
In1 In 0.750 0.250 0.500
# SG: I-4m2, No. 119
# ΔH_f (0 K): 0.2404 eV/atom

# PBE-GGA Hg2Pd2I, relaxed
data_Hg2Pd2I
_cell_length_a 8.450
_cell_length_b 8.450
_cell_length_c 3.093
_cell_angle_alpha 90.00
_cell_angle_beta 90.00
_cell_angle_gamma 90.00
_space_group_name_H-M_alt 'P 1'
_space_group_IT_number 1
loop_
_space_group_symop_operation_xyz
'x,y,z'
loop_
_atom_site_label
_atom_site_type_symbol
_atom_site_fract_x
_atom_site_fract_y
_atom_site_fract_z
Hg1 Hg 0.163 0.337 0.000
Hg2 Hg 0.337 0.837 0.000
Hg3 Hg 0.663 0.163 0.000
Hg4 Hg 0.837 0.663 0.000
Pd1 Pd 0.125 0.625 0.500
Pd2 Pd 0.375 0.125 0.500
Pd3 Pd 0.625 0.875 0.500
Pd4 Pd 0.875 0.375 0.500
I1 I 0.000 0.000 0.000
I2 I 0.500 0.500 0.000
# ΔE_f (raw): 0.14 eV/atom
# SG: P4/mbm, No. 127

# PBE-GGA TlHg3Cl7, relaxed
data_TlHg3Cl7
_cell_length_a 7.426
_cell_length_b 7.426
_cell_length_c 6.525
_cell_angle_alpha 95.63
_cell_angle_beta 95.63
_cell_angle_gamma 99.39
_space_group_name_H-M_alt 'P 1'
_space_group_IT_number 1
loop_
_space_group_symop_operation_xyz
'x,y,z'
loop_
_atom_site_label
_atom_site_type_symbol
_atom_site_fract_x
_atom_site_fract_y
_atom_site_fract_z
Tl1 Tl 0.000 0.000 0.000
Hg1 Hg 0.256 0.744 0.500
Hg2 Hg 0.500 0.500 0.000
Hg3 Hg 0.744 0.256 0.500
Cl1 Cl 0.000 0.000 0.500
Cl2 Cl 0.135 0.588 0.767
Cl3 Cl 0.342 0.342 0.241
Cl4 Cl 0.412 0.865 0.233
Cl5 Cl 0.588 0.135 0.767
Cl6 Cl 0.658 0.658 0.759
Cl7 Cl 0.865 0.412 0.233
# ΔE_f (raw): -0.66 eV/atom
# SG: C2/m, No. 12

# PBE-GGA Al7PdAu12, relaxed
data_Al7PdAu12
_cell_length_a 8.300
_cell_length_b 8.300
_cell_length_c 8.300
_cell_angle_alpha 113.16
_cell_angle_beta 113.16
_cell_angle_gamma 113.16
_space_group_name_H-M_alt 'P 1'
_space_group_IT_number 1
loop_
_space_group_symop_operation_xyz
'x,y,z'
loop_
_atom_site_label
_atom_site_type_symbol
_atom_site_fract_x
_atom_site_fract_y
_atom_site_fract_z
Al1 Al 0.000 0.000 0.000
Al2 Al 0.167 0.472 0.496
Al3 Al 0.472 0.496 0.167
Al4 Al 0.496 0.167 0.472
Al5 Al 0.504 0.833 0.528
Al6 Al 0.528 0.504 0.833
Al7 Al 0.833 0.528 0.504
Pd1 Pd 0.500 0.500 0.500
Au1 Au 0.099 0.397 0.132
Au2 Au 0.132 0.099 0.397
Au3 Au 0.161 0.358 0.785
Au4 Au 0.215 0.839 0.642
Au5 Au 0.358 0.785 0.161
Au6 Au 0.397 0.132 0.099
Au7 Au 0.603 0.868 0.901
Au8 Au 0.642 0.215 0.839
Au9 Au 0.785 0.161 0.358
Au10 Au 0.839 0.642 0.215
Au11 Au 0.868 0.901 0.603
Au12 Au 0.901 0.603 0.868
# SG: R-3, No. 148
# ΔH_f (0 K): -0.2666 eV/atom

# PBE-GGA Tc2IrOs, relaxed
data_Tc2IrOs
_cell_length_a 4.729
_cell_length_b 4.729
_cell_length_c 4.729
_cell_angle_alpha 131.67
_cell_angle_beta 131.67
_cell_angle_gamma 70.75
_space_group_name_H-M_alt 'P 1'
_space_group_IT_number 1
loop_
_space_group_symop_operation_xyz
'x,y,z'
loop_
_atom_site_label
_atom_site_type_symbol
_atom_site_fract_x
_atom_site_fract_y
_atom_site_fract_z
Tc1 Tc 0.250 0.750 0.500
Tc2 Tc 0.750 0.250 0.500
Ir1 Ir 0.000 0.000 0.000
Os1 Os 0.500 0.500 0.000
# SG: I4/mmm, No. 139
# ΔH_f (0 K): -0.0676 eV/atom

# PBE-GGA Ce2Pr3NpN6, relaxed
data_Ce2Pr3NpN6
_cell_length_a 6.213
_cell_length_b 6.213
_cell_length_c 6.243
_cell_angle_alpha 99.59
_cell_angle_beta 99.59
_cell_angle_gamma 119.94
_space_group_name_H-M_alt 'P 1'
_space_group_IT_number 1
loop_
_space_group_symop_operation_xyz
'x,y,z'
loop_
_atom_site_label
_atom_site_type_symbol
_atom_site_fract_x
_atom_site_fract_y
_atom_site_fract_z
Ce1 Ce 0.166 0.834 0.000
Ce2 Ce 0.834 0.166 0.000
Pr1 Pr 0.000 0.000 0.500
Pr2 Pr 0.332 0.668 0.500
Pr3 Pr 0.668 0.332 0.500
Np1 Np 0.500 0.500 0.000
N1 N 0.114 0.427 0.782
N2 N 0.258 0.258 0.223
N3 N 0.427 0.114 0.782
N4 N 0.573 0.886 0.218
N5 N 0.742 0.742 0.777
N6 N 0.886 0.573 0.218
# ΔE_f (raw): -1.36 eV/atom
# SG: C2/m, No. 12

# PBE-GGA RbPtRh3, relaxed
data_RbPtRh3
_cell_length_a 4.947
_cell_length_b 4.947
_cell_length_c 4.947
_cell_angle_alpha 90.00
_cell_angle_beta 90.00
_cell_angle_gamma 90.00
_space_group_name_H-M_alt 'P 1'
_space_group_IT_number 1
loop_
_space_group_symop_operation_xyz
'x,y,z'
loop_
_atom_site_label
_atom_site_type_symbol
_atom_site_fract_x
_atom_site_fract_y
_atom_site_fract_z
Rb1 Rb 0.000 0.000 0.000
Pt1 Pt 0.500 0.500 0.500
Rh1 Rh 0.000 0.500 0.500
Rh2 Rh 0.500 0.000 0.500
Rh3 Rh 0.500 0.500 0.000
# SG: Pm-3m, No. 221
# ΔH_f (0 K): 1.0786 eV/atom

# PBE-GGA Er12Tm7In, relaxed
data_Er12Tm7In
_cell_length_a 8.538
_cell_length_b 8.538
_cell_length_c 8.538
_cell_angle_alpha 89.71
_cell_angle_beta 89.71
_cell_angle_gamma 89.71
_space_group_name_H-M_alt 'P 1'
_space_group_IT_number 1
loop_
_space_group_symop_operation_xyz
'x,y,z'
loop_
_atom_site_label
_atom_site_type_symbol
_atom_site_fract_x
_atom_site_fract_y
_atom_site_fract_z
Er1 Er 0.000 0.115 0.650
Er2 Er 0.000 0.885 0.350
Er3 Er 0.115 0.650 0.000
Er4 Er 0.234 0.754 0.626
Er5 Er 0.246 0.374 0.766
Er6 Er 0.350 0.000 0.885
Er7 Er 0.374 0.766 0.246
Er8 Er 0.626 0.234 0.754
Er9 Er 0.650 0.000 0.115
Er10 Er 0.754 0.626 0.234
Er11 Er 0.766 0.246 0.374
Er12 Er 0.885 0.350 0.000
Tm1 Tm 0.000 0.000 0.000
Tm2 Tm 0.119 0.448 0.352
Tm3 Tm 0.352 0.119 0.448
Tm4 Tm 0.448 0.352 0.119
Tm5 Tm 0.552 0.648 0.881
Tm6 Tm 0.648 0.881 0.552
Tm7 Tm 0.881 0.552 0.648
In1 In 0.500 0.500 0.500
# SG: R-3, No. 148
# ΔH_f (0 K): 0.1775 eV/atom

# PBE-GGA RbAsWSe2, relaxed
data_RbAsWSe2
_cell_length_a 5.103
_cell_length_b 5.103
_cell_length_c 4.949
_cell_angle_alpha 90.00
_cell_angle_beta 90.00
_cell_angle_gamma 90.00
_space_group_name_H-M_alt 'P 1'
_space_group_IT_number 1
loop_
_space_group_symop_operation_xyz
'x,y,z'
loop_
_atom_site_label
_atom_site_type_symbol
_atom_site_fract_x
_atom_site_fract_y
_atom_site_fract_z
Rb1 Rb 0.000 0.000 0.000
As1 As 0.500 0.500 0.000
W1 W 0.500 0.500 0.500
Se1 Se 0.000 0.500 0.500
Se2 Se 0.500 0.000 0.500
# ΔE_f (raw): -0.16 eV/atom
# SG: P4/mmm, No. 123

# PBE-GGA DyThTeRu, relaxed
data_DyThTeRu
_cell_length_a 7.818
_cell_length_b 7.818
_cell_length_c 7.818
_cell_angle_alpha 30.75
_cell_angle_beta 30.75
_cell_angle_gamma 30.75
_space_group_name_H-M_alt 'P 1'
_space_group_IT_number 1
loop_
_space_group_symop_operation_xyz
'x,y,z'
loop_
_atom_site_label
_atom_site_type_symbol
_atom_site_fract_x
_atom_site_fract_y
_atom_site_fract_z
Dy1 Dy 0.000 0.000 0.000
Th1 Th 0.198 0.198 0.198
Te1 Te 0.760 0.760 0.760
Ru1 Ru 0.595 0.595 0.595
# ΔE_f (raw): -0.81 eV/atom
# SG: R3m, No. 160

| no. | DOS at the Fermi energy (states/eV/cell) |
| --- | --- |
| 1 | 5.44 |
| 2 | 2.91 |
| 3 | 2.77 |
| 4 | 4.55 |
| 5 | 0.00 |
| 6 | 6.99 |
| 7 | 4.57 |
| 8 | 13.61 |
| 9 | 5.88 |
| 10 | 39.20 |
| 11 | 3.75 |
| 12 | 2.90 |